(1)
The following is a DFT calculation (GGA-PBE) of an optimized crystal structure of FeCu2Mo.

Unit cell a=4.1881 b=3.4640 c=3.4640 alpha=90.00 beta=90.00 gamma=90.00
With the nearest neighbours (Å) after each atom.
Atoms (fractional coordinates):
Cu 0.0000 0.0000 0.0000  4 Cu 2.45, 4 Fe 2.72, 4 Mo 2.72
Cu 0.0000 0.5000 0.5000  4 Cu 2.45, 4 Mo 2.72, 4 Fe 2.72
Fe 0.5000 0.5000 0.0000  4 Mo 2.45, 8 Cu 2.72
Mo 0.5000 0.0000 0.5000  4 Fe 2.45, 8 Cu 2.72

Summary:
- E_form: 0.30 eV/atom
- E_tot: -6.567 eV/atom
- Offset from the most stable computed form: 0.151 eV/atom
- Calculated volume: 50.25 Å³ per cell

=====

(2)
The following is a DFT calculation (GGA-PBE) of an optimized crystal structure of HfZrBi.

Unit cell a=3.1559 b=5.1737 c=5.1737 alpha=120.00 beta=90.00 gamma=90.00
With the nearest neighbours (Å) after each atom.
Atoms (fractional coordinates):
Hf 0.0689 0.0000 0.0000  3 Bi 3.09, 2 Hf 3.16, 6 Zr 3.32-3.44
Bi 0.3215 0.6667 0.3333  3 Hf 3.09, 3 Zr 3.12, 2 Bi 3.16
Zr 0.6096 0.3333 0.6667  3 Bi 3.12, 2 Zr 3.16, 6 Hf 3.32-3.44

Summary:
- E_form: 0.11 eV/atom
- E_tot: -7.349 eV/atom
- Calculated volume: 73.16 Å³ per cell

=====

(3)
The following is a DFT calculation (GGA-PBE) of an optimized crystal structure of LaHfSi.

Unit cell a=4.2839 b=4.2839 c=8.0345 alpha=90.00 beta=90.00 gamma=90.00
With the nearest neighbours (Å) after each atom.
Atoms (fractional coordinates):
Hf 0.5000 0.5000 0.5000  4 Si 2.81, 4 Hf 3.03
Hf 0.0000 0.0000 0.5000  4 Si 2.81, 4 Hf 3.03
Si 0.5000 0.0000 0.7268  4 Hf 2.81
Si 0.0000 0.5000 0.2732  4 Hf 2.81
La 0.0000 0.5000 0.8550  5 Si 3.20-3.36, 4 Hf 3.57
La 0.5000 0.0000 0.1450  5 Si 3.20-3.36, 4 Hf 3.57

Summary:
- Formation energy without anion corrections: -0.552 eV/atom
- E_tot: -7.320 eV/atom
- Calculated volume: 147.45 Å³ per cell

=====

(4)
The following is a DFT calculation (GGA-PBE) of an optimized crystal structure of Tc2NiW.

Unit cell a=4.6724 b=4.6724 c=4.6724 alpha=131.34 beta=131.34 gamma=71.27
With the nearest neighbours (Å) after each atom.
Atoms (fractional coordinates):
Ni 0.7500 0.2500 0.5000  8 Tc 2.70-2.72, 4 W 2.70
Tc 0.0000 0.0000 0.0000  4 Tc 2.70, 4 Ni 2.70, 4 W 2.72
Tc 0.2500 0.7500 0.5000  4 W 2.70, 4 Tc 2.70, 4 Ni 2.72
W 0.5000 0.5000 0.0000  4 Ni 2.70, 8 Tc 2.70-2.72

Summary:
- E_form: 0.01 eV/atom
- E_tot: -9.855 eV/atom
- Offset from the most stable computed form: 0.026 eV/atom
- Calculated volume: 56.29 Å³ per cell

=====

(5)
The following is a DFT calculation (GGA-PBE) of an optimized crystal structure of ZrBeSb2.

Unit cell a=5.2975 b=5.2975 c=5.2763 alpha=86.27 beta=86.27 gamma=35.65
With the nearest neighbours (Å) after each atom.
Atoms (fractional coordinates):
Sb 0.5169 0.5169 0.4966  1 Be 2.78, 3 Zr 3.07, 2 Sb 3.10
Sb 0.9831 0.9831 0.0034  1 Be 2.78, 3 Zr 3.07, 2 Sb 3.10
Zr 0.2500 0.2500 0.2500  6 Sb 3.07, 4 Be 3.10, 2 Zr 3.24
Be 0.7500 0.7500 0.7500  2 Sb 2.78, 4 Zr 3.10

Summary:
- Formation energy without anion corrections: 0.215 eV/atom
- E_tot: -4.915 eV/atom
- Calculated volume: 86.09 Å³ per cell

=====

(6)
The following is a DFT calculation (GGA-PBE) of an optimized crystal structure of KAlHg2.

Unit cell a=5.2138 b=5.2138 c=4.0086 alpha=89.98 beta=89.98 gamma=90.02
With the nearest neighbours (Å) after each atom.
Atoms (fractional coordinates):
Al 0.0000 0.5000 0.5000  8 Hg 3.29
Hg 0.0000 0.0000 0.0000  4 K 3.29, 4 Al 3.29
Hg 0.5000 0.5000 0.0000  4 Al 3.29, 4 K 3.29
K 0.5000 0.0000 0.5000  8 Hg 3.29

Summary:
- E_form: 0.09 eV/atom
- E_tot: -1.274 eV/atom
- Offset from the most stable computed form: 0.144 eV/atom
- Calculated volume: 108.97 Å³ per cell